Record 1
# CsHg2Te2

A relaxed structure of CsHg2Te2 (PBEsol, Alexandria).

The calculation puts the total energy at -2.225 eV per atom.

```
data_CsHg2Te2
_symmetry_space_group_name_H-M 'I 4/m m m'
_symmetry_Int_Tables_number 139
_symmetry_space_group_name_Hall '-I 4 2'
_cell_length_a 5.115
_cell_length_b 5.115
_cell_length_c 13.518
_cell_angle_alpha 90.00
_cell_angle_beta 90.00
_cell_angle_gamma 90.00
loop_
_atom_site_label
_atom_site_type_symbol
_atom_site_fract_x
_atom_site_fract_y
_atom_site_fract_z
Cs1 Cs 0.000 0.000 0.000
Hg1 Hg 0.000 0.500 0.250
Te1 Te 0.000 0.000 0.359
```



Record 2
# CsHg2W

A relaxed structure of CsHg2W (PBEsol, Alexandria).

Its energy of formation from the pure elements is 1.3795 eV per atom.

```
data_CsHg2W
_symmetry_space_group_name_H-M 'F m -3 m'
_symmetry_Int_Tables_number 225
_symmetry_space_group_name_Hall '-F 4 2 3'
_cell_length_a 7.560
_cell_length_b 7.560
_cell_length_c 7.560
_cell_angle_alpha 90.00
_cell_angle_beta 90.00
_cell_angle_gamma 90.00
loop_
_atom_site_label
_atom_site_type_symbol
_atom_site_fract_x
_atom_site_fract_y
_atom_site_fract_z
Cs1 Cs 0.000 0.000 0.000
Hg1 Hg 0.250 0.250 0.250
W1 W 0.000 0.000 0.500
```